Entry 1:
TiVBi2O6 | Alexandria via LeMat-Bulk | PBE+U | relaxed; space group = P2_1/c (14); crystal system = monoclinic; total DFT energy (no corrections) = -0.2631 Ha/atom; total magnetization = 6.00 Bohr magnetons per cell
1.0
5.493 0.000 0.000
0.000 5.807 0.000
-5.383 0.000 7.928
Ti V Bi O
2 2 4 12
Direct
0.000 0.000 0.000
0.000 0.500 0.500
0.500 0.000 0.500
0.500 0.500 0.000
0.265 0.052 0.753
0.265 0.448 0.253
0.735 0.552 0.747
0.735 0.948 0.247
0.135 0.036 0.241
0.135 0.464 0.741
0.233 0.710 0.054
0.233 0.790 0.554
0.347 0.183 0.046
0.347 0.317 0.546
0.653 0.683 0.454
0.653 0.817 0.954
0.767 0.210 0.446
0.767 0.290 0.946
0.865 0.536 0.259
0.865 0.964 0.759

***

Entry 2:
TiBiWO6 | Alexandria via LeMat-Bulk | PBE+U | relaxed; space group = P-31c (163); crystal system = trigonal; total DFT energy (no corrections) = -0.2779 Ha/atom; total magnetization = 2.00 Bohr magnetons per cell
1.0
5.290 0.000 0.000
-2.645 4.582 0.000
0.000 0.000 9.952
Ti Bi W O
2 2 2 12
Direct
0.333 0.667 0.250
0.667 0.333 0.750
0.000 0.000 0.000
0.000 0.000 0.500
0.333 0.667 0.750
0.667 0.333 0.250
0.005 0.367 0.143
0.005 0.637 0.357
0.363 0.367 0.357
0.363 0.995 0.143
0.367 0.005 0.643
0.367 0.363 0.857
0.633 0.637 0.143
0.633 0.995 0.357
0.637 0.005 0.857
0.637 0.633 0.643
0.995 0.363 0.643
0.995 0.633 0.857